# La6ZnCd5

La6ZnCd5 after structural relaxation (PBE, Alexandria).

Cell lengths 9.554, 9.554, 5.510 Å; angles 106.60, 106.60, 48.49 degrees
Positions (direct):
La: 0.081 0.594 0.337
La: 0.237 0.763 0.000
La: 0.406 0.919 0.663
La: 0.594 0.081 0.337
La: 0.763 0.237 0.000
La: 0.919 0.406 0.663
Zn: 0.000 0.000 0.500
Cd: 0.173 0.173 0.173
Cd: 0.334 0.334 0.833
Cd: 0.500 0.500 0.500
Cd: 0.666 0.666 0.167
Cd: 0.827 0.827 0.827

Values from the calculation:
Energy of formation from the pure elements, meV/atom: -323